Compound: Ta2CoSb
Source: Alexandria
Functional: meta-GGA SCAN
Structure: PBEsol geometry

```
data_Ta2CoSb
_chemical_formula_sum 'Ta4 Co2 Sb2'
_cell_length_a 3.8584
_cell_length_b 4.5702
_cell_length_c 7.5404
_cell_angle_alpha 90.00
_cell_angle_beta 90.00
_cell_angle_gamma 90.00
_symmetry_space_group_name_H-M 'C m m m'
_symmetry_Int_Tables_number 65
_symmetry_space_group_name_Hall '-C 2 2'
loop_
_atom_site_label
_atom_site_fract_x
_atom_site_fract_y
_atom_site_fract_z
_atom_site_occupancy
Ta1 0.0000 0.0000 0.2118 1
Co1 0.0000 0.5000 0.0000 1
Sb1 0.0000 0.5000 0.5000 1
```

Summary:
* E_tot: -374.2 eV/cell